(1)
Density functional theory data (meta-GGA SCAN) for a crystal of TlCd2Mo relaxed with PBEsol.

Computed properties:
ρ	11.19	g cm⁻³
magnetic moment	1.0	μB/cell
symmetry	I4/mmm (139)
ΔE_f	48.4	kJ per mole of atoms

Unit cell a=4.011 b=4.011 c=5.614 alpha=110.93 beta=110.93 gamma=90.00
Last column: magnetic moment on the atom in μB.
Atoms (fractional coordinates):
1 Tl 0.000 0.000 0.000  -0.04
2 Cd 0.750 0.250 0.500  0.00
3 Cd 0.250 0.750 0.500  0.00
4 Mo 0.500 0.500 0.000  0.93

(2)
Density functional theory data (meta-GGA SCAN) for a crystal of TlCdMo2 relaxed with PBEsol.

Computed properties:
ρ	11.93	g cm⁻³
magnetic moment	0.0	μB/cell
symmetry	Immm (71)
polymorph energy (0 for the lowest one)	0	meV/atom
ΔE_f	64.9	kJ per mole of atoms

Unit cell a=3.408 b=4.459 c=5.440 alpha=114.19 beta=108.25 gamma=90.00
Atoms (fractional coordinates):
1 Cd 0.000 0.500 0.000
2 Tl 0.500 0.000 0.000
3 Mo 0.249 0.249 0.498
4 Mo 0.751 0.751 0.502

(3)
Density functional theory data (meta-GGA SCAN) for a crystal of CdMo2W relaxed with PBEsol.

Computed properties:
ρ	12.54	g cm⁻³
magnetic moment	0.0	μB/cell
symmetry	Cmmm (65)
ΔE_f	47.7	kJ per mole of atoms

Unit cell a=2.661 b=5.139 c=5.139 alpha=113.10 beta=90.00 gamma=90.00
Atoms (fractional coordinates):
1 Mo 0.000 0.500 0.000
2 Mo 0.000 0.000 0.500
3 Cd 0.500 0.500 0.500
4 W 0.500 0.000 0.000

(4)
Density functional theory data (meta-GGA SCAN) for a crystal of CdMo2W relaxed with PBEsol.

Computed properties:
ρ	12.22	g cm⁻³
magnetic moment	0.0	μB/cell
symmetry	P4mm (99)
ΔE_f	41.7	kJ per mole of atoms

Unit cell a=3.315 b=3.315 c=6.037 alpha=90.00 beta=90.00 gamma=90.00
Atoms (fractional coordinates):
1 Cd 0.500 0.500 0.751
2 Mo 0.500 0.500 0.250
3 Mo 0.000 0.000 0.035
4 W 0.000 0.000 0.464

(5)
Density functional theory data (meta-GGA SCAN) for a crystal of YCdMo2 relaxed with PBEsol.

Computed properties:
ρ	8.74	g cm⁻³
magnetic moment	0.0	μB/cell
symmetry	P4/mmm (123)
ΔE_f	41.6	kJ per mole of atoms

Unit cell a=4.020 b=4.020 c=4.622 alpha=90.00 beta=90.00 gamma=90.00
Atoms (fractional coordinates):
1 Mo 0.000 0.500 0.000
2 Mo 0.500 0.000 0.000
3 Cd 0.000 0.000 0.500
4 Y 0.500 0.500 0.500

(6)
Density functional theory data (meta-GGA SCAN) for a crystal of YCdMo2 relaxed with PBEsol.

Computed properties:
ρ	8.57	g cm⁻³
magnetic moment	0.0	μB/cell
symmetry	Pm (6)
ΔE_f	25.2	kJ per mole of atoms

Unit cell a=2.948 b=4.297 c=6.115 alpha=90.00 beta=100.39 gamma=90.00
Atoms (fractional coordinates):
1 Cd 0.542 0.500 0.771
2 Mo 0.104 0.000 0.027
3 Mo 0.420 0.500 0.217
4 Y 0.934 0.000 0.485

(7)
Density functional theory data (meta-GGA SCAN) for a crystal of YCdMo relaxed with PBEsol.

Computed properties:
ρ	8.19	g cm⁻³
magnetic moment	0.0	μB/cell
symmetry	Fmm2 (42)
ΔE_f	30.7	kJ per mole of atoms

Unit cell a=2.944 b=2.944 c=7.258 alpha=101.51 beta=101.51 gamma=90.95
Atoms (fractional coordinates):
1 Y 0.327 0.327 0.654
2 Mo 0.663 0.663 0.325
3 Cd 0.010 0.010 0.021

(8)
Density functional theory data (meta-GGA SCAN) for a crystal of YCdMo2 relaxed with PBEsol.

Computed properties:
ρ	8.61	g cm⁻³
magnetic moment	0.0	μB/cell
symmetry	I4/mmm (139)
ΔE_f	49.6	kJ per mole of atoms

Unit cell a=4.024 b=4.024 c=5.477 alpha=111.56 beta=111.56 gamma=90.00
Atoms (fractional coordinates):
1 Mo 0.250 0.750 0.500
2 Mo 0.750 0.250 0.500
3 Y 0.500 0.500 0.000
4 Cd 0.000 0.000 0.000